DFT (GGA-PBE) results for a relaxed BaZr2Ta crystal.

Summary:
- total moment (μB/f.u.) = 0.0
- theoretical density (g/cm³) = 8.0
- energy (eV/atom) = -7.183

CIF file:
```
data_BaZr2Ta
_chemical_formula_sum 'Ba1 Zr2 Ta1'
_cell_length_a 11.5602
_cell_length_b 11.5602
_cell_length_c 11.5602
_cell_angle_alpha 16.16
_cell_angle_beta 16.16
_cell_angle_gamma 16.16
_symmetry_space_group_name_H-M 'P 1'
_symmetry_Int_Tables_number 1
loop_
_symmetry_equiv_pos_as_xyz
'x,y,z'
loop_
_atom_site_label
_atom_site_type_symbol
_atom_site_fract_x
_atom_site_fract_y
_atom_site_fract_z
Ba1 Ba 0.0000 0.0000 0.0000
Zr1 Zr 0.2357 0.2357 0.2357
Zr2 Zr 0.7643 0.7643 0.7643
Ta1 Ta 0.5000 0.5000 0.5000
```

---

DFT (GGA-PBE) results for a relaxed Ba2ZrTa crystal.

Summary:
- total moment (μB/f.u.) = 0.4
- theoretical density (g/cm³) = 7.5
- energy (eV/atom) = -4.970

CIF file:
```
data_Ba2ZrTa
_chemical_formula_sum 'Ba2 Zr1 Ta1'
_cell_length_a 3.2300
_cell_length_b 3.2300
_cell_length_c 11.6266
_cell_angle_alpha 90.00
_cell_angle_beta 90.00
_cell_angle_gamma 90.34
_symmetry_space_group_name_H-M 'P 1'
_symmetry_Int_Tables_number 1
loop_
_symmetry_equiv_pos_as_xyz
'x,y,z'
loop_
_atom_site_label
_atom_site_type_symbol
_atom_site_fract_x
_atom_site_fract_y
_atom_site_fract_z
Ba1 Ba 0.0000 0.0000 0.2365
Ba2 Ba 0.0000 0.0000 0.7635
Zr1 Zr 0.5000 0.5000 0.5000
Ta1 Ta 0.5000 0.5000 0.0000
```

---

DFT (GGA-PBE) results for a relaxed Ba2ZrTa crystal.

Summary:
- total moment (μB/f.u.) = 0.0
- theoretical density (g/cm³) = 7.5
- energy (eV/atom) = -4.958

CIF file:
```
data_Ba2ZrTa
_chemical_formula_sum 'Ba2 Zr1 Ta1'
_cell_length_a 12.3889
_cell_length_b 12.3889
_cell_length_c 12.3889
_cell_angle_alpha 15.64
_cell_angle_beta 15.64
_cell_angle_gamma 15.64
_symmetry_space_group_name_H-M 'P 1'
_symmetry_Int_Tables_number 1
loop_
_symmetry_equiv_pos_as_xyz
'x,y,z'
loop_
_atom_site_label
_atom_site_type_symbol
_atom_site_fract_x
_atom_site_fract_y
_atom_site_fract_z
Ba1 Ba 0.2449 0.2449 0.2449
Ba2 Ba 0.7551 0.7551 0.7551
Zr1 Zr 0.0000 0.0000 0.0000
Ta1 Ta 0.5000 0.5000 0.5000
```

---

DFT (GGA-PBE) results for a relaxed BaZr2Ta crystal.

Summary:
- total moment (μB/f.u.) = 0.0
- theoretical density (g/cm³) = 8.5
- energy (eV/atom) = -6.871

CIF file:
```
data_BaZr2Ta
_chemical_formula_sum 'Ba1 Zr2 Ta1'
_cell_length_a 5.1342
_cell_length_b 5.1342
_cell_length_c 3.6895
_cell_angle_alpha 90.00
_cell_angle_beta 90.00
_cell_angle_gamma 90.00
_symmetry_space_group_name_H-M 'P 1'
_symmetry_Int_Tables_number 1
loop_
_symmetry_equiv_pos_as_xyz
'x,y,z'
loop_
_atom_site_label
_atom_site_type_symbol
_atom_site_fract_x
_atom_site_fract_y
_atom_site_fract_z
Ba1 Ba 0.0000 0.0000 0.0000
Zr1 Zr 0.0000 0.5000 0.5000
Zr2 Zr 0.5000 0.0000 0.5000
Ta1 Ta 0.5000 0.5000 0.0000
```

---

DFT (GGA-PBE) results for a relaxed BaZrTa2 crystal.

Summary:
- total moment (μB/f.u.) = 0.0
- theoretical density (g/cm³) = 10.5
- energy (eV/atom) = -7.461

CIF file:
```
data_BaZrTa2
_chemical_formula_sum 'Ba1 Zr1 Ta2'
_cell_length_a 5.7951
_cell_length_b 5.7951
_cell_length_c 5.7951
_cell_angle_alpha 135.88
_cell_angle_beta 135.88
_cell_angle_gamma 64.17
_symmetry_space_group_name_H-M 'P 1'
_symmetry_Int_Tables_number 1
loop_
_symmetry_equiv_pos_as_xyz
'x,y,z'
loop_
_atom_site_label
_atom_site_type_symbol
_atom_site_fract_x
_atom_site_fract_y
_atom_site_fract_z
Ba1 Ba 0.0000 0.0000 0.0000
Zr1 Zr 0.5000 0.5000 0.0000
Ta1 Ta 0.2500 0.7500 0.5000
Ta2 Ta 0.7500 0.2500 0.5000
```

---

DFT (GGA-PBE) results for a relaxed BaZrTa2 crystal.

Summary:
- total moment (μB/f.u.) = 0.0
- theoretical density (g/cm³) = 8.8
- energy (eV/atom) = -7.814

CIF file:
```
data_BaZrTa2
_chemical_formula_sum 'Ba1 Zr1 Ta2'
_cell_length_a 5.3010
_cell_length_b 5.3010
_cell_length_c 6.9416
_cell_angle_alpha 92.14
_cell_angle_beta 92.14
_cell_angle_gamma 34.67
_symmetry_space_group_name_H-M 'P 1'
_symmetry_Int_Tables_number 1
loop_
_symmetry_equiv_pos_as_xyz
'x,y,z'
loop_
_atom_site_label
_atom_site_type_symbol
_atom_site_fract_x
_atom_site_fract_y
_atom_site_fract_z
Ba1 Ba 0.0000 0.0000 0.0000
Zr1 Zr 0.5000 0.5000 0.5000
Ta1 Ta 0.2371 0.2371 0.6570
Ta2 Ta 0.7629 0.7629 0.3430
```

---

DFT (GGA-PBE) results for a relaxed Ba2ZrTa crystal.

Summary:
- total moment (μB/f.u.) = 0.0
- theoretical density (g/cm³) = 6.2
- energy (eV/atom) = -5.193

CIF file:
```
data_Ba2ZrTa
_chemical_formula_sum 'Ba2 Zr1 Ta1'
_cell_length_a 6.3891
_cell_length_b 6.3891
_cell_length_c 6.3891
_cell_angle_alpha 137.89
_cell_angle_beta 120.96
_cell_angle_gamma 75.15
_symmetry_space_group_name_H-M 'P 1'
_symmetry_Int_Tables_number 1
loop_
_symmetry_equiv_pos_as_xyz
'x,y,z'
loop_
_atom_site_label
_atom_site_type_symbol
_atom_site_fract_x
_atom_site_fract_y
_atom_site_fract_z
Ba1 Ba 0.0000 0.0000 0.0000
Ba2 Ba 0.6879 0.1879 0.5000
Zr1 Zr 0.2907 0.7907 0.5000
Ta1 Ta 0.4068 0.4068 0.0000
```

---

DFT (GGA-PBE) results for a relaxed BaZr2Ta crystal.

Summary:
- total moment (μB/f.u.) = 0.0
- theoretical density (g/cm³) = 7.8
- energy (eV/atom) = -7.160

CIF file:
```
data_BaZr2Ta
_chemical_formula_sum 'Ba1 Zr2 Ta1'
_cell_length_a 3.1968
_cell_length_b 3.1968
_cell_length_c 10.4972
_cell_angle_alpha 90.00
_cell_angle_beta 90.00
_cell_angle_gamma 90.00
_symmetry_space_group_name_H-M 'P 1'
_symmetry_Int_Tables_number 1
loop_
_symmetry_equiv_pos_as_xyz
'x,y,z'
loop_
_atom_site_label
_atom_site_type_symbol
_atom_site_fract_x
_atom_site_fract_y
_atom_site_fract_z
Ba1 Ba 0.0000 0.0000 0.0000
Zr1 Zr 0.0000 0.0000 0.4777
Zr2 Zr 0.5000 0.5000 0.6852
Ta1 Ta 0.5000 0.5000 0.2828
```

---

What is the total moment in the seventh record?
0.0 μB/f.u.

---

Which value of energy does entry 7 give?
-5.193 eV/atom